(1)
Fe2TcRh | meta-GGA SCAN | single point on PBEsol structure

Summary:
As for the energy above the most stable polymorph in this dataset: 0.00 kcal/mol of atoms.

Cell: 2.570 3.590 5.168 Å, 90.00 90.00 90.00°
Last column: magnetic moment on the atom in μB.
Atoms (fractional coordinates):
1 Rh 0.500 0.500 0.000  0.24
2 Fe 0.000 0.000 0.255  2.51
3 Tc 0.500 0.500 0.500  -0.62
4 Fe 0.000 0.000 0.745  2.51

***

(2)
LaMoP2 | meta-GGA SCAN | single point on PBEsol structure

Summary:
As for the energy above the most stable polymorph in this dataset: 5.85 kcal/mol of atoms.

Cell: 3.159 3.159 6.871 Å, 90.00 90.00 90.00°
Atoms (fractional coordinates):
1 Mo 0.500 0.500 0.500
2 P 0.000 0.000 0.305
3 P 0.000 0.000 0.695
4 La 0.500 0.500 0.000

***

(3)
YCr4 | meta-GGA SCAN | single point on PBEsol structure

Cell: 3.971 3.971 5.497 Å, 111.18 111.18 90.00°
Atoms (fractional coordinates):
1 Cr 0.626 0.626 0.253
2 Y 0.000 0.000 0.000
3 Cr 0.374 0.374 0.747
4 Cr 0.250 0.750 0.500
5 Cr 0.750 0.250 0.500

***

| no. | E_form (eV per atom) | V (Å³ per atom) | total DFT energy (no corrections) (eV per atom) |
| --- | --- | --- | --- |
| 1 | 0.091 | 11.9 | -26.181 |
| 2 | -0.614 | 17.1 | -25.311 |
| 3 | 0.447 | 14.9 | -19.829 |